A relaxed structure of MgHg2I. Source: Alexandria, functional GGA-PBE.

Formation energy (no corrections) (eV/atom): 0.0437
Size of the total moment (μB/cell): 0.0
Uncorrected energy (eV per atom): -0.893

Lattice parameters (Å, degrees): 5.5956 5.5956 5.5956 60.00 60.00 60.00
Fractional positions:
1 Mg 0.0000 0.0000 0.0000
2 Hg 0.2500 0.2500 0.2500
3 Hg 0.7500 0.7500 0.7500
4 I 0.5000 0.5000 0.5000